Record 1
A relaxed Ir2OsPt crystal, computed with GGA-PBEsol.

a = 2.6697 Å, b = 2.6928 Å, c = 9.3969 Å
α = 90.00°, β = 90.00°, γ = 119.72°
Last column: nearest neighbours and their distance in Å.
Atoms (fractional coordinates):
Pt 0.5000 0.0000 0.0000  6 Pt 2.67-2.69, 4 Ir 2.75
Ir 0.0000 0.0000 0.2558  2 Os 2.65, 6 Ir 2.67-2.69, 2 Pt 2.75
Ir 0.0000 0.0000 0.7442  2 Os 2.65, 6 Ir 2.67-2.69, 2 Pt 2.75
Os 0.5000 0.0000 0.5000  4 Ir 2.65, 6 Os 2.67-2.69

final energy: -9.326 eV/atom
DFT formation energy: 0.381 eV per atom
V: 59 Å³/cell

Record 2
A relaxed Ir2OsPt crystal, computed with GGA-PBEsol.

a = 3.8387 Å, b = 3.8387 Å, c = 4.7153 Å
α = 114.02°, β = 114.02°, γ = 90.00°
Last column: nearest neighbours and their distance in Å.
Atoms (fractional coordinates):
Ir 0.7500 0.2500 0.5000  4 Ir 2.71, 4 Os 2.72, 4 Pt 2.72
Ir 0.2500 0.7500 0.5000  4 Ir 2.71, 4 Os 2.72, 4 Pt 2.72
Os 0.0000 0.0000 0.0000  4 Pt 2.71, 8 Ir 2.72
Pt 0.5000 0.5000 0.0000  4 Os 2.71, 8 Ir 2.72

final energy: -9.638 eV/atom
DFT formation energy: 0.069 eV per atom
V: 57 Å³/cell

Record 3
A relaxed IrOsPt2 crystal, computed with GGA-PBEsol.

a = 2.7314 Å, b = 2.7314 Å, c = 9.1090 Å
α = 81.38°, β = 81.38°, γ = 60.00°
Last column: nearest neighbours and their distance in Å.
Atoms (fractional coordinates):
Ir 0.5032 0.5032 0.4905  3 Os 2.63, 6 Ir 2.73, 3 Pt 2.79
Os 0.2479 0.2479 0.2562  3 Ir 2.63, 6 Os 2.73, 3 Pt 2.74
Pt 0.9977 0.9977 0.0069  9 Pt 2.73-2.82, 3 Os 2.74
Pt 0.7512 0.7512 0.7464  9 Pt 2.73-2.82, 3 Ir 2.79

final energy: -8.973 eV/atom
DFT formation energy: 0.018 eV per atom
V: 58 Å³/cell